[1]
Density functional theory data (PBE) for an optimized crystal structure of CrReTc2. Values from VASP.

```
&SYSTEM
  ibrav = 0, nat = 4, ntyp = 3
/
ATOMIC_SPECIES
Tc 98.00 Tc.upf
Cr 52.00 Cr.upf
Re 186.21 Re.upf
CELL_PARAMETERS angstrom
-4.182 -1.204 1.763
0.433 -3.981 2.451
2.405 4.030 0.134
ATOMIC_POSITIONS crystal
Tc 0.250 0.750 0.500
Tc 0.000 0.000 0.000
Cr 0.500 0.500 0.000
Re 0.750 0.250 0.500
```

Results
Crystal system: tetragonal
Space-group type: No. 119
Formation enthalpy at 0 K, eV per atom: 0.142

[2]
Density functional theory data (PBE) for an optimized crystal structure of Sr12Bi3O5. Values from VASP.

```
&SYSTEM
  ibrav = 0, nat = 80, ntyp = 3
/
ATOMIC_SPECIES
Sr 87.62 Sr.upf
Bi 208.98 Bi.upf
O 16.00 O.upf
CELL_PARAMETERS angstrom
-3.566 -9.714 -10.677
-4.660 -5.152 13.146
-6.529 13.062 -2.801
ATOMIC_POSITIONS crystal
Sr 0.888 0.584 0.896
Sr 0.084 0.188 0.196
Sr 0.804 0.492 0.388
Sr 0.584 0.696 0.688
Sr 0.992 0.388 0.304
Sr 0.304 0.888 0.992
Sr 0.992 0.604 0.188
Sr 0.804 0.312 0.916
Sr 0.188 0.084 0.696
Sr 0.104 0.916 0.112
Sr 0.084 0.896 0.388
Sr 0.696 0.584 0.188
Sr 0.812 0.916 0.304
Sr 0.604 0.992 0.688
Sr 0.312 0.508 0.396
Sr 0.508 0.196 0.112
Sr 0.896 0.812 0.508
Sr 0.688 0.492 0.604
Sr 0.492 0.688 0.104
Sr 0.388 0.396 0.084
Sr 0.916 0.104 0.612
Sr 0.888 0.304 0.492
Sr 0.396 0.008 0.312
Sr 0.008 0.612 0.696
Sr 0.008 0.396 0.812
Sr 0.312 0.804 0.416
Sr 0.896 0.084 0.888
Sr 0.584 0.888 0.396
Sr 0.416 0.112 0.604
Sr 0.612 0.008 0.196
Sr 0.492 0.804 0.888
Sr 0.196 0.508 0.612
Sr 0.688 0.196 0.584
Sr 0.508 0.312 0.896
Sr 0.196 0.688 0.084
Sr 0.612 0.604 0.916
Sr 0.812 0.896 0.008
Sr 0.396 0.388 0.584
Sr 0.188 0.104 0.992
Sr 0.696 0.112 0.008
Sr 0.112 0.416 0.104
Sr 0.604 0.612 0.416
Sr 0.388 0.992 0.804
Sr 0.916 0.812 0.804
Sr 0.112 0.696 0.508
Sr 0.304 0.416 0.812
Sr 0.416 0.304 0.312
Sr 0.104 0.188 0.492
Bi 0.250 0.125 0.375
Bi 0.375 0.625 0.250
Bi 0.625 0.250 0.375
Bi 0.875 0.750 0.125
Bi 0.125 0.250 0.875
Bi 0.750 0.375 0.125
Bi 0.750 0.875 0.625
Bi 0.375 0.750 0.625
Bi 0.250 0.625 0.875
Bi 0.625 0.375 0.750
Bi 0.125 0.875 0.750
Bi 0.875 0.125 0.250
O 0.625 0.875 0.250
O 0.500 0.500 0.000
O 0.000 0.000 0.000
O 0.500 0.000 0.500
O 0.125 0.750 0.375
O 0.000 0.500 0.500
O 0.500 0.500 0.500
O 0.250 0.875 0.125
O 0.125 0.375 0.250
O 0.875 0.625 0.750
O 0.375 0.250 0.125
O 0.375 0.125 0.750
O 0.750 0.625 0.375
O 0.625 0.750 0.875
O 0.000 0.000 0.500
O 0.875 0.250 0.625
O 0.250 0.375 0.625
O 0.500 0.000 0.000
O 0.750 0.125 0.875
O 0.000 0.500 0.000
```

Results
Crystal system: cubic
Space-group type: No. 230
Electronic total energy, eV per atom: -4.384

[3]
Density functional theory data (PBE) for an optimized crystal structure of PuTe2Pb. Values from VASP.

```
&SYSTEM
  ibrav = 0, nat = 16, ntyp = 3
/
ATOMIC_SPECIES
Te 127.60 Te.upf
Pb 207.20 Pb.upf
Pu 244.00 Pu.upf
CELL_PARAMETERS angstrom
-3.074 1.532 1.044
0.046 -3.491 5.257
10.838 15.020 9.881
ATOMIC_POSITIONS crystal
Te 0.750 0.665 0.356
Te 0.250 0.835 0.856
Te 0.250 0.115 0.437
Te 0.750 0.165 0.144
Te 0.750 0.885 0.563
Te 0.250 0.615 0.063
Te 0.250 0.335 0.644
Te 0.750 0.385 0.937
Pb 0.750 0.697 0.191
Pb 0.750 0.197 0.309
Pb 0.250 0.303 0.809
Pb 0.250 0.803 0.691
Pu 0.750 0.421 0.529
Pu 0.750 0.921 0.971
Pu 0.250 0.079 0.029
Pu 0.250 0.579 0.471
```

Results
Crystal system: orthorhombic
Space-group type: No. 62
Electronic total energy, eV per atom: -6.313